NpOsBr2O6 after structural relaxation. Source: Alexandria, functional PBE.

```
NpOsBr2O6
1.0
5.731 -0.010 -0.449
-0.011 5.731 -0.449
2.452 2.453 6.978
Os Br O Np
1 2 6 1
direct
0.500 0.500 0.000
0.358 0.642 0.500
0.642 0.358 0.500
0.067 0.067 0.757
0.933 0.933 0.243
0.723 0.277 0.000
0.720 0.720 0.006
0.277 0.723 0.000
0.280 0.280 0.994
0.000 0.000 0.000
```

Formation energy from raw total energies = -1.2931 eV/atom
Symmetry = C2/m, No. 12

HoNpRe4 after structural relaxation. Source: Alexandria, functional PBE.

```
HoNpRe4
1.0
5.409 0.000 0.000
2.705 4.685 0.000
2.705 1.562 4.417
Re Ho Np
4 1 1
direct
0.124 0.625 0.625
0.625 0.124 0.625
0.625 0.625 0.124
0.625 0.625 0.625
0.000 0.000 0.000
0.250 0.250 0.250
```

VASP energy = -11.193 eV/atom
Symmetry = F-43m, No. 216

SrLaTlPb after structural relaxation. Source: Alexandria, functional PBE.

```
SrLaTlPb
1.0
3.808 0.000 0.000
0.000 3.808 0.000
0.000 0.000 9.071
La Sr Tl Pb
1 1 1 1
direct
0.000 0.000 0.360
0.000 0.000 0.856
0.500 0.500 0.600
0.500 0.500 0.112
```

Relative energy among the computed polymorphs = 0 meV/atom
Symmetry = P4mm, No. 99

NbSb2Pt after structural relaxation. Source: Alexandria, functional PBE.

```
NbSb2Pt
1.0
-0.091 -2.775 1.800
-0.648 -2.898 -1.460
8.847 -3.165 -1.391
Sb Pt Nb
2 1 1
direct
0.092 0.092 0.724
0.908 0.908 0.276
0.000 0.000 0.000
0.500 0.500 0.500
```

Formation energy from raw total energies = 0.0281 eV/atom
Relative energy among the computed polymorphs = 0 meV/atom
Symmetry = R-3m, No. 166